Entry 1:
DFT (PBE) results for crystalline Ca3C at its relaxed geometry.

Structure (POSCAR):
```
Ca3C
1.0
5.023 -6.363 0.000
5.023 6.363 0.000
0.000 0.000 3.561
Ca C
6 2
Direct
0.208 0.484 0.750
0.143 0.857 0.750
0.857 0.143 0.250
0.516 0.792 0.750
0.484 0.208 0.250
0.792 0.516 0.250
0.286 0.714 0.250
0.714 0.286 0.750
```

Properties
The space-group type is Cmcm. Its electronic total energy is -14.15 eV/f.u. The value obtained for the polymorph energy (0 for the lowest one) is 23 meV per atom. The value obtained for the mass density is 1.9 g cm⁻³.


Entry 2:
DFT (PBE) results for crystalline LiTb2AsPb at its relaxed geometry.

Structure (POSCAR):
```
LiTb2AsPb
1.0
4.176 0.000 0.000
0.000 7.682 0.389
0.000 -2.808 7.860
Tb Pb Li As
4 2 2 2
Direct
0.250 0.244 0.976
0.750 0.874 0.607
0.750 0.756 0.024
0.250 0.126 0.393
0.250 0.681 0.299
0.750 0.319 0.701
0.750 0.458 0.357
0.250 0.542 0.643
0.750 0.148 0.170
0.250 0.852 0.830
```

Properties
The space-group type is P2_1/m. Its electronic total energy is -23.47 eV/f.u. The value obtained for the mass density is 7.9 g cm⁻³.


Entry 3:
DFT (PBE) results for crystalline K2BaHgI6 at its relaxed geometry.

Structure (POSCAR):
```
K2BaHgI6
1.0
-4.738 -7.265 0.020
2.965 -7.100 4.005
-3.876 -2.627 7.605
I Hg K Ba
6 1 2 1
Direct
0.573 0.198 0.253
0.976 0.573 0.253
0.673 0.112 0.776
0.198 0.976 0.253
0.438 0.673 0.776
0.112 0.438 0.776
0.319 0.319 0.042
0.026 0.026 0.923
0.528 0.528 0.415
0.817 0.817 0.548
```

Properties
The space-group type is R3. Its electronic total energy is -25.19 eV/f.u. As for the energy relative to the elements, uncorrected: -1.147 eV/atom. The value obtained for the mass density is 4.1 g cm⁻³.


Entry 4:
DFT (PBE) results for crystalline YTc2Os at its relaxed geometry.

Structure (POSCAR):
```
YTc2Os
1.0
-0.837 -0.206 4.486
2.767 -2.397 2.732
2.746 2.166 2.938
Y Tc Os
1 2 1
Direct
0.750 0.750 0.750
0.000 0.000 0.000
0.250 0.250 0.250
0.500 0.500 0.500
```

Properties
The space-group type is F-43m. Its electronic total energy is -37.24 eV/f.u. The value obtained for the polymorph energy (0 for the lowest one) is 310 meV per atom. The value obtained for the mass density is 11.7 g cm⁻³.